Entry 1:
Density functional theory data (PBE) for a geometry-optimized NaSr2In5Pd2 structure.

```
NaSr2In5Pd2
1.0
10.7906 0.0000 0.0000
0.0000 10.7906 0.0000
0.0000 0.0000 4.3757
Na Sr In Pd
2 4 10 4
direct
0.0000 0.0000 0.0000
0.5000 0.5000 0.0000
0.1793 0.3207 0.0000
0.3207 0.8207 0.0000
0.6793 0.1793 0.0000
0.8207 0.6793 0.0000
0.0000 0.5000 0.5000
0.0640 0.7874 0.5000
0.2126 0.0640 0.5000
0.2874 0.5640 0.5000
0.4360 0.2874 0.5000
0.5000 0.0000 0.5000
0.5640 0.7126 0.5000
0.7126 0.4360 0.5000
0.7874 0.9360 0.5000
0.9360 0.2126 0.5000
0.1166 0.6166 0.0000
0.3834 0.1166 0.0000
0.6166 0.8834 0.0000
0.8834 0.3834 0.0000
```

Output
- Magnetic moment: 0.000 Bohr magnetons per cell
- Energy relative to the elements: -0.46 eV per atom
- Raw total energy: -66.80 eV per cell

Entry 2:
Density functional theory data (PBE) for a geometry-optimized NaSrIn2Pd structure.

```
NaSrIn2Pd
1.0
5.2270 0.0000 0.0000
0.0000 5.2270 0.0000
0.0000 0.0000 5.3613
Na Sr In Pd
1 1 2 1
direct
0.0000 0.0000 0.0000
0.5000 0.5000 0.0000
0.0000 0.5000 0.5000
0.5000 0.0000 0.5000
0.0000 0.0000 0.5000
```

Output
- Magnetic moment: 0.000 Bohr magnetons per cell
- Energy relative to the elements: -0.28 eV per atom
- Raw total energy: -15.05 eV per cell
- Excess energy over the best structure of this formula in the dataset: 0.00 kJ/mol of atoms

Entry 3:
Density functional theory data (PBE) for a geometry-optimized NaSrIn2Pd structure.

```
NaSrIn2Pd
1.0
5.4013 0.0000 0.0000
0.0000 5.4013 0.0000
0.0000 0.0000 5.0399
Na Sr In Pd
1 1 2 1
direct
0.0000 0.0000 0.0000
0.5000 0.5000 0.5000
0.0000 0.5000 0.0000
0.5000 0.0000 0.0000
0.0000 0.0000 0.5000
```

Output
- Magnetic moment: 0.000 Bohr magnetons per cell
- Energy relative to the elements: 0.17 eV per atom
- Raw total energy: -12.81 eV per cell
- Excess energy over the best structure of this formula in the dataset: 43.35 kJ/mol of atoms

Entry 4:
Density functional theory data (PBE) for a geometry-optimized NaInTe2Pd structure.

```
NaInTe2Pd
1.0
5.3413 0.0000 0.0000
0.0000 5.3413 0.0000
0.0000 0.0000 5.2810
Na In Te Pd
1 1 2 1
direct
0.0000 0.0000 0.0000
0.5000 0.5000 0.0000
0.0000 0.5000 0.5000
0.5000 0.0000 0.5000
0.0000 0.0000 0.5000
```

Output
- ΔE_f (raw): -0.196 eV per atom
- Magnetic moment: 0.000 Bohr magnetons per cell
- Raw total energy: -16.51 eV per cell

Entry 5:
Density functional theory data (PBE) for a geometry-optimized NaTlInPd structure.

```
NaTlInPd
1.0
0.0000 3.4933 3.4933
3.4933 0.0000 3.4933
3.4933 3.4933 0.0000
Na Tl In Pd
1 1 1 1
direct
0.0000 0.0000 0.0000
0.7500 0.7500 0.7500
0.2500 0.2500 0.2500
0.5000 0.5000 0.5000
```

Output
- Magnetic moment: 0.000 Bohr magnetons per cell
- Energy relative to the elements: -0.19 eV per atom
- Raw total energy: -12.37 eV per cell

Entry 6:
Density functional theory data (PBE) for a geometry-optimized Na2TlInPd structure.

```
Na2TlInPd
1.0
5.6966 0.0000 0.0000
0.0000 5.6966 0.0000
0.0000 0.0000 5.1442
Na Tl In Pd
2 1 1 1
direct
0.0000 0.5000 0.0000
0.5000 0.0000 0.0000
0.0000 0.0000 0.0000
0.5000 0.5000 0.5000
0.0000 0.0000 0.5000
```

Output
- Magnetic moment: 0.000 Bohr magnetons per cell
- Energy relative to the elements: 0.30 eV per atom
- Raw total energy: -11.45 eV per cell